First-principles (PBE) data for an optimized crystal structure of NaTaCl2, as listed in the Alexandria database.

CIF file:
```
data_NaTaCl2
_chemical_formula_sum 'Na4 Ta4 Cl8'
_cell_length_a 6.4580
_cell_length_b 6.4580
_cell_length_c 6.4580
_cell_angle_alpha 90.00
_cell_angle_beta 90.00
_cell_angle_gamma 90.00
_symmetry_space_group_name_H-M 'F m -3 m'
_symmetry_Int_Tables_number 225
_symmetry_space_group_name_Hall '-F 4 2 3'
loop_
_atom_site_label
_atom_site_fract_x
_atom_site_fract_y
_atom_site_fract_z
_atom_site_occupancy
Na1 0.0000 0.0000 0.0000 1
Ta1 0.0000 0.0000 0.5000 1
Cl1 0.2500 0.2500 0.2500 1
```

Properties
- Formation energy (no corrections): 128 meV per atom
- N(E_F): 4.274 states/eV per cell
- Final energy: -65.4 eV for the cell shown
- Mass density: 6.78 g cm⁻³